[1]
# TlCd2Rh PBE-GGA optimized geometry
data_TlCd2Rh
_space_group_name_H-M_alt 'P 1'
_space_group_IT_number 1
_cell_length_a 10.544
_cell_length_b 3.240
_cell_length_c 5.493
_cell_angle_alpha 90.00
_cell_angle_beta 117.79
_cell_angle_gamma 90.00
loop_
_space_group_symop_operation_xyz
'x,y,z'
loop_
_atom_site_label
_atom_site_type_symbol
_atom_site_fract_x
_atom_site_fract_y
_atom_site_fract_z
Tl1 Tl 0.000 0.000 0.000
Tl2 Tl 0.500 0.500 0.000
Cd1 Cd 0.215 0.000 0.610
Cd2 Cd 0.442 0.000 0.445
Cd3 Cd 0.715 0.500 0.610
Cd4 Cd 0.942 0.500 0.445
Rh1 Rh 0.229 0.500 0.040
Rh2 Rh 0.729 0.000 0.040
# Crystal system ... monoclinic
# Relative energy among the computed polymorphs ... 85 meV per atom
# DFT formation energy ... 50 meV/atom
# Calculated total energy ... -2.84 eV per atom



[2]
# Tl2Cd2Rh PBE-GGA optimized geometry
data_Tl2Cd2Rh
_space_group_name_H-M_alt 'P 1'
_space_group_IT_number 1
_cell_length_a 7.065
_cell_length_b 7.065
_cell_length_c 5.037
_cell_angle_alpha 90.00
_cell_angle_beta 90.00
_cell_angle_gamma 90.00
loop_
_space_group_symop_operation_xyz
'x,y,z'
loop_
_atom_site_label
_atom_site_type_symbol
_atom_site_fract_x
_atom_site_fract_y
_atom_site_fract_z
Tl1 Tl 0.180 0.320 0.000
Tl2 Tl 0.320 0.820 0.000
Tl3 Tl 0.680 0.180 0.000
Tl4 Tl 0.820 0.680 0.000
Cd1 Cd 0.147 0.647 0.500
Cd2 Cd 0.353 0.147 0.500
Cd3 Cd 0.647 0.853 0.500
Cd4 Cd 0.853 0.353 0.500
Rh1 Rh 0.000 0.000 0.500
Rh2 Rh 0.500 0.500 0.500
# Crystal system ... tetragonal
# Relative energy among the computed polymorphs ... 0 meV per atom
# DFT formation energy ... 261 meV/atom
# Calculated total energy ... -2.52 eV per atom



[3]
# TlCdRh PBE-GGA optimized geometry
data_TlCdRh
_space_group_name_H-M_alt 'P 1'
_space_group_IT_number 1
_cell_length_a 6.457
_cell_length_b 6.457
_cell_length_c 6.457
_cell_angle_alpha 90.00
_cell_angle_beta 90.00
_cell_angle_gamma 90.00
loop_
_space_group_symop_operation_xyz
'x,y,z'
loop_
_atom_site_label
_atom_site_type_symbol
_atom_site_fract_x
_atom_site_fract_y
_atom_site_fract_z
Tl1 Tl 0.000 0.000 0.000
Tl2 Tl 0.000 0.500 0.500
Tl3 Tl 0.500 0.000 0.500
Tl4 Tl 0.500 0.500 0.000
Cd1 Cd 0.000 0.000 0.500
Cd2 Cd 0.000 0.500 0.000
Cd3 Cd 0.500 0.000 0.000
Cd4 Cd 0.500 0.500 0.500
Rh1 Rh 0.250 0.250 0.250
Rh2 Rh 0.250 0.750 0.750
Rh3 Rh 0.750 0.250 0.750
Rh4 Rh 0.750 0.750 0.250
# Crystal system ... cubic
# Relative energy among the computed polymorphs ... 148 meV per atom
# DFT formation energy ... 56 meV/atom
# Calculated total energy ... -3.49 eV per atom



[4]
# Tl2CdRh PBE-GGA optimized geometry
data_Tl2CdRh
_space_group_name_H-M_alt 'P 1'
_space_group_IT_number 1
_cell_length_a 4.523
_cell_length_b 3.138
_cell_length_c 7.320
_cell_angle_alpha 90.00
_cell_angle_beta 107.93
_cell_angle_gamma 90.00
loop_
_space_group_symop_operation_xyz
'x,y,z'
loop_
_atom_site_label
_atom_site_type_symbol
_atom_site_fract_x
_atom_site_fract_y
_atom_site_fract_z
Tl1 Tl 0.000 0.000 0.000
Tl2 Tl 0.309 0.500 0.621
Cd1 Cd 0.679 0.000 0.359
Rh1 Rh 0.512 0.500 0.024
# Crystal system ... monoclinic
# Relative energy among the computed polymorphs ... 9 meV per atom
# DFT formation energy ... 24 meV/atom
# Calculated total energy ... -3.23 eV per atom



[5]
# Tl2CdRh PBE-GGA optimized geometry
data_Tl2CdRh
_space_group_name_H-M_alt 'P 1'
_space_group_IT_number 1
_cell_length_a 6.264
_cell_length_b 9.804
_cell_length_c 3.390
_cell_angle_alpha 90.00
_cell_angle_beta 121.58
_cell_angle_gamma 90.00
loop_
_space_group_symop_operation_xyz
'x,y,z'
loop_
_atom_site_label
_atom_site_type_symbol
_atom_site_fract_x
_atom_site_fract_y
_atom_site_fract_z
Tl1 Tl 0.250 0.250 0.000
Tl2 Tl 0.250 0.750 0.000
Tl3 Tl 0.750 0.250 0.000
Tl4 Tl 0.750 0.750 0.000
Cd1 Cd 0.000 0.000 0.500
Cd2 Cd 0.500 0.500 0.500
Rh1 Rh 0.000 0.500 0.500
Rh2 Rh 0.500 0.000 0.500
# Crystal system ... monoclinic
# Relative energy among the computed polymorphs ... 260 meV per atom
# DFT formation energy ... 275 meV/atom
# Calculated total energy ... -2.98 eV per atom



[6]
# Tl2CdRh PBE-GGA optimized geometry
data_Tl2CdRh
_space_group_name_H-M_alt 'P 1'
_space_group_IT_number 1
_cell_length_a 10.293
_cell_length_b 10.293
_cell_length_c 5.336
_cell_angle_alpha 90.00
_cell_angle_beta 90.00
_cell_angle_gamma 90.00
loop_
_space_group_symop_operation_xyz
'x,y,z'
loop_
_atom_site_label
_atom_site_type_symbol
_atom_site_fract_x
_atom_site_fract_y
_atom_site_fract_z
Tl1 Tl 0.001 0.250 0.125
Tl2 Tl 0.250 0.501 0.375
Tl3 Tl 0.250 0.999 0.875
Tl4 Tl 0.499 0.250 0.625
Tl5 Tl 0.501 0.750 0.625
Tl6 Tl 0.750 0.001 0.875
Tl7 Tl 0.750 0.499 0.375
Tl8 Tl 0.999 0.750 0.125
Cd1 Cd 0.000 0.000 0.500
Cd2 Cd 0.000 0.500 0.750
Cd3 Cd 0.500 0.000 0.250
Cd4 Cd 0.500 0.500 0.000
Rh1 Rh 0.000 0.000 0.000
Rh2 Rh 0.000 0.500 0.250
Rh3 Rh 0.500 0.000 0.750
Rh4 Rh 0.500 0.500 0.500
# Crystal system ... tetragonal
# Relative energy among the computed polymorphs ... 69 meV per atom
# DFT formation energy ... 84 meV/atom
# Calculated total energy ... -3.17 eV per atom



[7]
# TlCd2Rh PBE-GGA optimized geometry
data_TlCd2Rh
_space_group_name_H-M_alt 'P 1'
_space_group_IT_number 1
_cell_length_a 3.051
_cell_length_b 4.626
_cell_length_c 12.448
_cell_angle_alpha 90.00
_cell_angle_beta 90.00
_cell_angle_gamma 90.00
loop_
_space_group_symop_operation_xyz
'x,y,z'
loop_
_atom_site_label
_atom_site_type_symbol
_atom_site_fract_x
_atom_site_fract_y
_atom_site_fract_z
Tl1 Tl 0.000 0.000 0.000
Tl2 Tl 0.500 0.500 0.500
Cd1 Cd 0.000 0.500 0.193
Cd2 Cd 0.000 0.500 0.807
Cd3 Cd 0.500 0.000 0.307
Cd4 Cd 0.500 0.000 0.693
Rh1 Rh 0.000 0.000 0.500
Rh2 Rh 0.500 0.500 0.000
# Crystal system ... orthorhombic
# Relative energy among the computed polymorphs ... 0 meV per atom
# DFT formation energy ... -34 meV/atom
# Calculated total energy ... -2.92 eV per atom



[8]
# Tl2CdRh PBE-GGA optimized geometry
data_Tl2CdRh
_space_group_name_H-M_alt 'P 1'
_space_group_IT_number 1
_cell_length_a 13.880
_cell_length_b 3.122
_cell_length_c 4.642
_cell_angle_alpha 90.00
_cell_angle_beta 109.48
_cell_angle_gamma 90.00
loop_
_space_group_symop_operation_xyz
'x,y,z'
loop_
_atom_site_label
_atom_site_type_symbol
_atom_site_fract_x
_atom_site_fract_y
_atom_site_fract_z
Tl1 Tl 0.000 0.000 0.000
Tl2 Tl 0.194 0.000 0.694
Tl3 Tl 0.500 0.500 0.000
Tl4 Tl 0.694 0.500 0.694
Cd1 Cd 0.320 0.500 0.320
Cd2 Cd 0.820 0.000 0.320
Rh1 Rh 0.001 0.500 0.501
Rh2 Rh 0.501 0.000 0.501
# Crystal system ... monoclinic
# Relative energy among the computed polymorphs ... 15 meV per atom
# DFT formation energy ... 30 meV/atom
# Calculated total energy ... -3.22 eV per atom



[9]
# TlCdRh PBE-GGA optimized geometry
data_TlCdRh
_space_group_name_H-M_alt 'P 1'
_space_group_IT_number 1
_cell_length_a 6.119
_cell_length_b 6.615
_cell_length_c 6.650
_cell_angle_alpha 90.00
_cell_angle_beta 90.00
_cell_angle_gamma 90.00
loop_
_space_group_symop_operation_xyz
'x,y,z'
loop_
_atom_site_label
_atom_site_type_symbol
_atom_site_fract_x
_atom_site_fract_y
_atom_site_fract_z
Tl1 Tl 0.250 0.249 0.000
Tl2 Tl 0.250 0.251 0.500
Tl3 Tl 0.750 0.749 0.500
Tl4 Tl 0.750 0.751 0.000
Cd1 Cd 0.250 0.749 0.003
Cd2 Cd 0.250 0.751 0.503
Cd3 Cd 0.750 0.249 0.503
Cd4 Cd 0.750 0.251 0.003
Rh1 Rh 0.000 0.000 0.251
Rh2 Rh 0.000 0.500 0.751
Rh3 Rh 0.500 0.000 0.251
Rh4 Rh 0.500 0.500 0.751
# Crystal system ... orthorhombic
# Relative energy among the computed polymorphs ... 0 meV per atom
# DFT formation energy ... -91 meV/atom
# Calculated total energy ... -3.64 eV per atom



[10]
# TlCd2Rh PBE-GGA optimized geometry
data_TlCd2Rh
_space_group_name_H-M_alt 'P 1'
_space_group_IT_number 1
_cell_length_a 6.884
_cell_length_b 6.884
_cell_length_c 6.884
_cell_angle_alpha 90.00
_cell_angle_beta 90.00
_cell_angle_gamma 90.00
loop_
_space_group_symop_operation_xyz
'x,y,z'
loop_
_atom_site_label
_atom_site_type_symbol
_atom_site_fract_x
_atom_site_fract_y
_atom_site_fract_z
Tl1 Tl 0.000 0.000 0.000
Tl2 Tl 0.000 0.500 0.500
Tl3 Tl 0.500 0.000 0.500
Tl4 Tl 0.500 0.500 0.000
Cd1 Cd 0.250 0.250 0.250
Cd2 Cd 0.250 0.250 0.750
Cd3 Cd 0.250 0.750 0.250
Cd4 Cd 0.250 0.750 0.750
Cd5 Cd 0.750 0.250 0.250
Cd6 Cd 0.750 0.250 0.750
Cd7 Cd 0.750 0.750 0.250
Cd8 Cd 0.750 0.750 0.750
Rh1 Rh 0.000 0.000 0.500
Rh2 Rh 0.000 0.500 0.000
Rh3 Rh 0.500 0.000 0.000
Rh4 Rh 0.500 0.500 0.500
# Crystal system ... cubic
# Relative energy among the computed polymorphs ... 213 meV per atom
# DFT formation energy ... 178 meV/atom
# Calculated total energy ... -2.71 eV per atom



[11]
# TlCd5Rh6 PBE-GGA optimized geometry
data_TlCd5Rh6
_space_group_name_H-M_alt 'P 1'
_space_group_IT_number 1
_cell_length_a 7.937
_cell_length_b 7.937
_cell_length_c 7.937
_cell_angle_alpha 146.49
_cell_angle_beta 131.68
_cell_angle_gamma 60.09
loop_
_space_group_symop_operation_xyz
'x,y,z'
loop_
_atom_site_label
_atom_site_type_symbol
_atom_site_fract_x
_atom_site_fract_y
_atom_site_fract_z
Tl1 Tl 0.000 0.000 0.000
Cd1 Cd 0.170 0.670 0.500
Cd2 Cd 0.334 0.334 0.000
Cd3 Cd 0.500 0.000 0.500
Cd4 Cd 0.666 0.666 0.000
Cd5 Cd 0.830 0.330 0.500
Rh1 Rh 0.083 0.834 0.248
Rh2 Rh 0.248 0.500 0.748
Rh3 Rh 0.414 0.166 0.248
Rh4 Rh 0.586 0.834 0.752
Rh5 Rh 0.752 0.500 0.252
Rh6 Rh 0.917 0.166 0.752
# Crystal system ... orthorhombic
# DFT formation energy ... -61 meV/atom
# Calculated total energy ... -4.31 eV per atom



[12]
# Tl2CdRh PBE-GGA optimized geometry
data_Tl2CdRh
_space_group_name_H-M_alt 'P 1'
_space_group_IT_number 1
_cell_length_a 4.331
_cell_length_b 4.331
_cell_length_c 9.089
_cell_angle_alpha 90.00
_cell_angle_beta 90.00
_cell_angle_gamma 90.00
loop_
_space_group_symop_operation_xyz
'x,y,z'
loop_
_atom_site_label
_atom_site_type_symbol
_atom_site_fract_x
_atom_site_fract_y
_atom_site_fract_z
Tl1 Tl 0.000 0.000 0.000
Tl2 Tl 0.000 0.500 0.250
Tl3 Tl 0.500 0.000 0.750
Tl4 Tl 0.500 0.500 0.500
Cd1 Cd 0.000 0.500 0.750
Cd2 Cd 0.500 0.000 0.250
Rh1 Rh 0.000 0.000 0.500
Rh2 Rh 0.500 0.500 0.000
# Crystal system ... tetragonal
# Relative energy among the computed polymorphs ... 186 meV per atom
# DFT formation energy ... 201 meV/atom
# Calculated total energy ... -3.05 eV per atom



- Which formula does entry 2 have?
  Tl2Cd2Rh



- Look up the DFT formation energy of the first one.
  50 meV/atom



- What is the DFT formation energy in the fifth record?
  275 meV/atom